# 1
This record from OQMD describes a relaxed structure of KHg3GeTe4. The functional is GGA-PBE.

The structure in CIF format:
```
data_KHg3GeTe4
_chemical_formula_sum 'K1 Hg3 Ge1 Te4'
_cell_length_a 7.199
_cell_length_b 7.199
_cell_length_c 7.199
_cell_angle_alpha 90.00
_cell_angle_beta 90.00
_cell_angle_gamma 90.00
_symmetry_space_group_name_H-M 'P 1'
_symmetry_Int_Tables_number 1
loop_
_symmetry_equiv_pos_as_xyz
'x,y,z'
loop_
_atom_site_label
_atom_site_type_symbol
_atom_site_fract_x
_atom_site_fract_y
_atom_site_fract_z
Ge1 Ge 0.500 0.500 0.500
Te1 Te 0.725 0.725 0.275
Te2 Te 0.275 0.725 0.725
Te3 Te 0.275 0.275 0.275
Te4 Te 0.725 0.275 0.725
K1 K 0.000 0.000 0.000
Hg1 Hg 0.500 0.500 0.000
Hg2 Hg 0.500 0.000 0.500
Hg3 Hg 0.000 0.500 0.500
```

Calculated values
Calculated total energy ... -2.313 eV per atom
Symmetry ... P-43m, No. 215
E above lowest polymorph ... 0.282 eV per formula unit

---

# 2
This record from OQMD describes a relaxed structure of KHg3GeTe4. The functional is GGA-PBE.

The structure in CIF format:
```
data_KHg3GeTe4
_chemical_formula_sum 'K2 Hg6 Ge2 Te8'
_cell_length_a 7.209
_cell_length_b 8.340
_cell_length_c 11.206
_cell_angle_alpha 90.00
_cell_angle_beta 90.11
_cell_angle_gamma 90.00
_symmetry_space_group_name_H-M 'P 1'
_symmetry_Int_Tables_number 1
loop_
_symmetry_equiv_pos_as_xyz
'x,y,z'
loop_
_atom_site_label
_atom_site_type_symbol
_atom_site_fract_x
_atom_site_fract_y
_atom_site_fract_z
Te1 Te 0.131 0.250 0.431
Te2 Te 0.190 0.250 0.050
Te3 Te 0.607 0.997 0.268
Te4 Te 0.607 0.503 0.268
Te5 Te 0.869 0.750 0.569
Te6 Te 0.810 0.750 0.950
Te7 Te 0.393 0.497 0.732
Te8 Te 0.393 0.003 0.732
Hg1 Hg 0.720 0.081 0.542
Hg2 Hg 0.720 0.419 0.542
Hg3 Hg 0.117 0.750 0.788
Hg4 Hg 0.883 0.250 0.212
Hg5 Hg 0.280 0.581 0.458
Hg6 Hg 0.280 0.919 0.458
K1 K 0.283 0.750 0.098
K2 K 0.717 0.250 0.902
Ge1 Ge 0.617 0.750 0.748
Ge2 Ge 0.383 0.250 0.252
```

Calculated values
Calculated total energy ... -2.344 eV per atom
Symmetry ... P2_1/m, No. 11
E above lowest polymorph ... 0.000 eV per formula unit

---

# 3
This record from OQMD describes a relaxed structure of LaHgGe. The functional is GGA-PBE.

The structure in CIF format:
```
data_LaHgGe
_chemical_formula_sum 'La1 Hg1 Ge1'
_cell_length_a 4.931
_cell_length_b 4.931
_cell_length_c 4.931
_cell_angle_alpha 60.00
_cell_angle_beta 60.00
_cell_angle_gamma 60.00
_symmetry_space_group_name_H-M 'P 1'
_symmetry_Int_Tables_number 1
loop_
_symmetry_equiv_pos_as_xyz
'x,y,z'
loop_
_atom_site_label
_atom_site_type_symbol
_atom_site_fract_x
_atom_site_fract_y
_atom_site_fract_z
Ge1 Ge 0.000 0.000 0.000
Hg1 Hg 0.250 0.250 0.250
La1 La 0.750 0.750 0.750
```

Calculated values
Calculated total energy ... -3.716 eV per atom
Symmetry ... F-43m, No. 216
Magnetization ... 0.0 μB/cell

---

# 4
This record from OQMD describes a relaxed structure of Li2HgGe. The functional is GGA-PBE.

The structure in CIF format:
```
data_Li2HgGe
_chemical_formula_sum 'Li2 Hg1 Ge1'
_cell_length_a 4.582
_cell_length_b 4.582
_cell_length_c 4.582
_cell_angle_alpha 60.00
_cell_angle_beta 60.00
_cell_angle_gamma 60.00
_symmetry_space_group_name_H-M 'P 1'
_symmetry_Int_Tables_number 1
loop_
_symmetry_equiv_pos_as_xyz
'x,y,z'
loop_
_atom_site_label
_atom_site_type_symbol
_atom_site_fract_x
_atom_site_fract_y
_atom_site_fract_z
Li1 Li 0.750 0.750 0.750
Li2 Li 0.000 0.000 0.000
Ge1 Ge 0.500 0.500 0.500
Hg1 Hg 0.250 0.250 0.250
```

Calculated values
Calculated total energy ... -2.465 eV per atom
Symmetry ... F-43m, No. 216

---

# 5
This record from OQMD describes a relaxed structure of LiHg3GeO4. The functional is GGA-PBE.

The structure in CIF format:
```
data_LiHg3GeO4
_chemical_formula_sum 'Li1 Hg3 Ge1 O4'
_cell_length_a 5.375
_cell_length_b 5.375
_cell_length_c 5.375
_cell_angle_alpha 90.00
_cell_angle_beta 90.00
_cell_angle_gamma 90.00
_symmetry_space_group_name_H-M 'P 1'
_symmetry_Int_Tables_number 1
loop_
_symmetry_equiv_pos_as_xyz
'x,y,z'
loop_
_atom_site_label
_atom_site_type_symbol
_atom_site_fract_x
_atom_site_fract_y
_atom_site_fract_z
O1 O 0.742 0.742 0.742
O2 O 0.258 0.258 0.742
O3 O 0.258 0.742 0.258
O4 O 0.742 0.258 0.258
Hg1 Hg 0.500 0.000 0.000
Hg2 Hg 0.000 0.500 0.000
Hg3 Hg 0.000 0.000 0.500
Ge1 Ge 0.000 0.000 0.000
Li1 Li 0.500 0.500 0.500
```

Calculated values
Calculated total energy ... -3.255 eV per atom
Symmetry ... P-43m, No. 215

---

# 6
This record from OQMD describes a relaxed structure of Li4HgGePd2. The functional is GGA-PBE.

The structure in CIF format:
```
data_Li4HgGePd2
_chemical_formula_sum 'Li4 Hg1 Ge1 Pd2'
_cell_length_a 4.408
_cell_length_b 4.408
_cell_length_c 6.231
_cell_angle_alpha 90.00
_cell_angle_beta 90.00
_cell_angle_gamma 90.00
_symmetry_space_group_name_H-M 'P 1'
_symmetry_Int_Tables_number 1
loop_
_symmetry_equiv_pos_as_xyz
'x,y,z'
loop_
_atom_site_label
_atom_site_type_symbol
_atom_site_fract_x
_atom_site_fract_y
_atom_site_fract_z
Hg1 Hg 0.500 0.500 0.500
Li1 Li 0.500 0.500 0.000
Li2 Li 0.000 0.500 0.759
Li3 Li 0.500 0.000 0.241
Li4 Li 0.000 0.000 0.500
Pd1 Pd 0.000 0.500 0.211
Pd2 Pd 0.500 0.000 0.789
Ge1 Ge 0.000 0.000 0.000
```

Calculated values
Calculated total energy ... -3.355 eV per atom
Symmetry ... P-4m2, No. 115

---

# 7
This record from OQMD describes a relaxed structure of Li4HgGe2Pt. The functional is GGA-PBE.

The structure in CIF format:
```
data_Li4HgGe2Pt
_chemical_formula_sum 'Li4 Hg1 Ge2 Pt1'
_cell_length_a 4.383
_cell_length_b 4.383
_cell_length_c 6.350
_cell_angle_alpha 90.00
_cell_angle_beta 90.00
_cell_angle_gamma 90.00
_symmetry_space_group_name_H-M 'P 1'
_symmetry_Int_Tables_number 1
loop_
_symmetry_equiv_pos_as_xyz
'x,y,z'
loop_
_atom_site_label
_atom_site_type_symbol
_atom_site_fract_x
_atom_site_fract_y
_atom_site_fract_z
Li1 Li 0.500 0.000 0.733
Li2 Li 0.000 0.500 0.267
Li3 Li 0.000 0.000 0.500
Li4 Li 0.500 0.500 0.000
Ge1 Ge 0.500 0.000 0.280
Ge2 Ge 0.000 0.500 0.720
Hg1 Hg 0.000 0.000 0.000
Pt1 Pt 0.500 0.500 0.500
```

Calculated values
Calculated total energy ... -3.382 eV per atom
Symmetry ... P-4m2, No. 115
Magnetization ... 0.0 μB/cell

---

# 8
This record from OQMD describes a relaxed structure of LiHg3GeS4. The functional is GGA-PBE.

The structure in CIF format:
```
data_LiHg3GeS4
_chemical_formula_sum 'Li1 Hg3 Ge1 S4'
_cell_length_a 6.189
_cell_length_b 6.189
_cell_length_c 6.189
_cell_angle_alpha 90.00
_cell_angle_beta 90.00
_cell_angle_gamma 90.00
_symmetry_space_group_name_H-M 'P 1'
_symmetry_Int_Tables_number 1
loop_
_symmetry_equiv_pos_as_xyz
'x,y,z'
loop_
_atom_site_label
_atom_site_type_symbol
_atom_site_fract_x
_atom_site_fract_y
_atom_site_fract_z
S1 S 0.749 0.749 0.749
S2 S 0.251 0.749 0.251
S3 S 0.749 0.251 0.251
S4 S 0.251 0.251 0.749
Hg1 Hg 0.000 0.000 0.500
Hg2 Hg 0.500 0.000 0.000
Hg3 Hg 0.000 0.500 0.000
Li1 Li 0.500 0.500 0.500
Ge1 Ge 0.000 0.000 0.000
```

Calculated values
Calculated total energy ... -2.761 eV per atom
Symmetry ... P-43m, No. 215
E above lowest polymorph ... 0.993 eV per formula unit